(1)
An optimized crystal structure of LiPmDyPd, computed with PBE.

Output
calculated volume = 23.4 Å³ per atom
DOS(E_F) = 2.9 states/eV/f.u.
space-group type = F-43m (216)
formation enthalpy at 0 K = -368 meV/atom

abc: 5.0953 5.0953 5.0953
angles: 60.00 60.00 60.00
Element x y z (fractional)
Pm: 0.7500 0.7500 0.7500
Li: 0.0000 0.0000 0.0000
Pd: 0.5000 0.5000 0.5000
Dy: 0.2500 0.2500 0.2500


(2)
An optimized crystal structure of CaPrSn6, computed with PBE.

Output
calculated volume = 27.3 Å³ per atom
DOS(E_F) = 3.2 states/eV/f.u.
space-group type = P4/mmm (123)
formation enthalpy at 0 K = -450 meV/atom

abc: 4.7292 4.7292 9.7608
angles: 90.00 90.00 90.00
Element x y z (fractional)
Ca: 0.0000 0.0000 0.0000
Pr: 0.0000 0.0000 0.5000
Sn: 0.5000 0.5000 0.0000
Sn: 0.5000 0.5000 0.5000
Sn: 0.5000 0.0000 0.2466
Sn: 0.5000 0.0000 0.7534
Sn: 0.0000 0.5000 0.2466
Sn: 0.0000 0.5000 0.7534


(3)
An optimized crystal structure of CrPbBr2, computed with PBE.

Output
energy above the most stable polymorph in this dataset = 99 meV/atom
calculated volume = 28.9 Å³ per atom
ΔE_f (raw) = -0.198 eV/atom
DOS(E_F) = 2.7 states/eV/f.u.
space-group type = Immm (71)

abc: 6.5241 6.5241 6.5241
angles: 148.30 126.91 63.16
Element x y z (fractional)
Br: 0.9159 0.9159 0.0000
Br: 0.5841 0.5841 0.0000
Cr: 0.7500 0.2500 0.5000
Pb: 0.2500 0.7500 0.5000


(4)
An optimized crystal structure of TbPuMg4, computed with PBE.

Output
calculated volume = 25.9 Å³ per atom
DOS(E_F) = 12.9 states/eV/f.u.
space-group type = F-43m (216)
formation enthalpy at 0 K = 43 meV/atom

abc: 6.0345 6.0345 6.0345
angles: 60.00 60.00 60.00
Element x y z (fractional)
Mg: 0.6251 0.6251 0.1246
Mg: 0.6251 0.1246 0.6251
Mg: 0.6251 0.6251 0.6251
Mg: 0.1246 0.6251 0.6251
Tb: 0.0000 0.0000 0.0000
Pu: 0.2500 0.2500 0.2500


(5)
An optimized crystal structure of Ac2TbSm, computed with PBE.

Output
energy above the most stable polymorph in this dataset = 67 meV/atom
calculated volume = 38.6 Å³ per atom
DOS(E_F) = 7.1 states/eV/f.u.
space-group type = Fm-3m (225)
formation enthalpy at 0 K = 104 meV/atom

abc: 6.0235 6.0235 6.0235
angles: 60.00 60.00 60.00
Element x y z (fractional)
Ac: 0.2500 0.2500 0.2500
Ac: 0.7500 0.7500 0.7500
Tb: 0.0000 0.0000 0.0000
Sm: 0.5000 0.5000 0.5000


(6)
An optimized crystal structure of As3SeI, computed with PBE.

Output
energy above the most stable polymorph in this dataset = 0 meV/atom
calculated volume = 27.0 Å³ per atom
ΔE_f (raw) = 0.854 eV/atom
DOS(E_F) = 4.9 states/eV/f.u.
space-group type = Pm-3m (221)

abc: 5.1291 5.1291 5.1291
angles: 90.00 90.00 90.00
Element x y z (fractional)
I: 0.5000 0.5000 0.5000
As: 0.0000 0.5000 0.0000
As: 0.0000 0.0000 0.5000
As: 0.5000 0.0000 0.0000
Se: 0.0000 0.0000 0.0000


(7)
An optimized crystal structure of FeB4Mo3, computed with PBE.

Output
calculated volume = 10.5 Å³ per atom
DOS(E_F) = 4.5 states/eV/f.u.
space-group type = Immm (71)
formation enthalpy at 0 K = -248 meV/atom

abc: 3.1324 4.6148 6.4565
angles: 110.94 104.04 90.00
Element x y z (fractional)
Fe: 0.5000 0.0000 0.0000
B: 0.3713 0.5551 0.7426
B: 0.6287 0.4449 0.2574
B: 0.6287 0.8124 0.2574
B: 0.3713 0.1876 0.7426
Mo: 0.1885 0.1885 0.3771
Mo: 0.8115 0.8115 0.6229
Mo: 0.0000 0.5000 0.0000


(8)
An optimized crystal structure of Pa2Zn3Hg, computed with PBE.

Output
calculated volume = 20.1 Å³ per atom
DOS(E_F) = 5.7 states/eV/f.u.
space-group type = P6_3/mmc (194)
formation enthalpy at 0 K = -57 meV/atom

abc: 5.7664 5.7664 8.3758
angles: 90.00 90.00 120.00
Element x y z (fractional)
Pa: 0.6667 0.3333 0.4088
Pa: 0.3333 0.6667 0.5912
Pa: 0.3333 0.6667 0.9088
Pa: 0.6667 0.3333 0.0912
Zn: 0.1804 0.3607 0.2500
Zn: 0.3607 0.1804 0.7500
Zn: 0.8196 0.6393 0.7500
Zn: 0.1804 0.8196 0.2500
Zn: 0.8196 0.1804 0.7500
Zn: 0.6393 0.8196 0.2500
Hg: 0.0000 0.0000 0.5000
Hg: 0.0000 0.0000 0.0000